## NiOs3Pt (PBE)

Data for a relaxed structure of NiOs3Pt.

Total DFT energy (no corrections)   -6.23 eV/atom
DOS(E_F)   2.132 states/eV/atom
V   106 Å³/cell
Total magnetization   0.58 μB/atom
E_form   2.87 eV per atom

a = 4.733 Å, b = 4.733 Å, c = 4.733 Å
α = 90.00°, β = 90.00°, γ = 90.00°
Element x y z (fractional)
Os 0.000 0.000 0.500
Os 0.000 0.500 0.000
Os 0.500 0.000 0.000
Ni 0.500 0.500 0.500
Pt 0.000 0.000 0.000

## Tb2NdInC (PBE)

Data for a relaxed structure of Tb2NdInC.

Total DFT energy (no corrections)   -5.61 eV/atom
DOS(E_F)   0.394 states/eV/atom
V   126 Å³/cell
Total magnetization   0.00 μB/atom
E_form   -0.42 eV per atom

a = 5.123 Å, b = 4.965 Å, c = 4.965 Å
α = 90.00°, β = 90.00°, γ = 90.00°
Element x y z (fractional)
C 0.000 0.000 0.000
In 0.500 0.500 0.500
Nd 0.500 0.000 0.000
Tb 0.000 0.000 0.500
Tb 0.000 0.500 0.000

## PrPbAu4 (PBE)

Data for a relaxed structure of PrPbAu4.

Total DFT energy (no corrections)   -4.00 eV/atom
DOS(E_F)   0.669 states/eV/atom
V   133 Å³/cell
Total magnetization   0.00 μB/atom
E_form   -0.40 eV per atom

a = 5.736 Å, b = 5.736 Å, c = 5.736 Å
α = 60.00°, β = 60.00°, γ = 60.00°
Element x y z (fractional)
Au 0.625 0.125 0.625
Au 0.625 0.625 0.125
Au 0.125 0.625 0.625
Au 0.625 0.625 0.625
Pr 0.250 0.250 0.250
Pb 0.000 0.000 0.000

Look up the DOS(E_F) of the first one.
2.132 states/eV/atom